Record 1
# PBE LaErHg4, relaxed
data_LaErHg4
_symmetry_space_group_name_H-M 'P 1'
_symmetry_Int_Tables_number 1
_symmetry_space_group_name_Hall 'P 1'
_cell_length_a 6.020
_cell_length_b 6.020
_cell_length_c 6.020
_cell_angle_alpha 60.00
_cell_angle_beta 60.00
_cell_angle_gamma 60.00
loop_
_atom_site_label
_atom_site_fract_x
_atom_site_fract_y
_atom_site_fract_z
La1 0.000 0.000 0.000
Er1 0.750 0.750 0.750
Hg1 0.375 0.375 0.375
Hg2 0.375 0.375 0.875
Hg3 0.375 0.875 0.375
Hg4 0.875 0.375 0.375
# ΔE to the lowest computed polymorph (meV/atom): 169.5
# Total magnetization (μB per formula unit): 0.0

=====

Record 2
# PBE InTeP2S, relaxed
data_InTeP2S
_symmetry_space_group_name_H-M 'P 1'
_symmetry_Int_Tables_number 1
_symmetry_space_group_name_Hall 'P 1'
_cell_length_a 5.301
_cell_length_b 5.301
_cell_length_c 5.243
_cell_angle_alpha 90.00
_cell_angle_beta 90.00
_cell_angle_gamma 90.00
loop_
_atom_site_label
_atom_site_fract_x
_atom_site_fract_y
_atom_site_fract_z
In1 0.000 0.000 0.000
Te1 0.500 0.500 0.500
P1 0.000 0.500 0.500
P2 0.500 0.000 0.500
S1 0.500 0.500 0.000
# Raw formation energy (meV/atom): 855.5
# ΔE to the lowest computed polymorph (meV/atom): 0.0
# Total magnetization (μB per formula unit): 0.0

=====

Record 3
# PBE MgAgPb2, relaxed
data_MgAgPb2
_symmetry_space_group_name_H-M 'P 1'
_symmetry_Int_Tables_number 1
_symmetry_space_group_name_Hall 'P 1'
_cell_length_a 3.392
_cell_length_b 3.392
_cell_length_c 8.781
_cell_angle_alpha 90.00
_cell_angle_beta 90.00
_cell_angle_gamma 90.00
loop_
_atom_site_label
_atom_site_fract_x
_atom_site_fract_y
_atom_site_fract_z
Mg1 0.000 0.000 0.000
Ag1 0.500 0.500 0.821
Pb1 0.000 0.000 0.584
Pb2 0.500 0.500 0.259
# E_tot (eV for the cell shown): -12.1
# Total magnetization (μB per formula unit): 0.0

=====

Record 4
# PBE LiCu2Ni, relaxed
data_LiCu2Ni
_symmetry_space_group_name_H-M 'P 1'
_symmetry_Int_Tables_number 1
_symmetry_space_group_name_Hall 'P 1'
_cell_length_a 8.482
_cell_length_b 2.517
_cell_length_c 4.429
_cell_angle_alpha 90.00
_cell_angle_beta 98.99
_cell_angle_gamma 90.00
loop_
_atom_site_label
_atom_site_fract_x
_atom_site_fract_y
_atom_site_fract_z
Li1 0.000 0.000 0.000
Li2 0.500 0.500 0.000
Cu1 0.244 0.000 0.752
Cu2 0.497 0.000 0.492
Cu3 0.744 0.500 0.752
Cu4 0.997 0.500 0.492
Ni1 0.255 0.500 0.260
Ni2 0.755 0.000 0.260
# ΔE to the lowest computed polymorph (meV/atom): 13.8
# Total magnetization (μB per formula unit): 0.0

=====

Record 5
# PBE MnZn4Ru, relaxed
data_MnZn4Ru
_symmetry_space_group_name_H-M 'P 1'
_symmetry_Int_Tables_number 1
_symmetry_space_group_name_Hall 'P 1'
_cell_length_a 4.903
_cell_length_b 4.903
_cell_length_c 4.903
_cell_angle_alpha 60.00
_cell_angle_beta 60.00
_cell_angle_gamma 60.00
loop_
_atom_site_label
_atom_site_fract_x
_atom_site_fract_y
_atom_site_fract_z
Mn1 0.000 0.000 0.000
Zn1 0.375 0.375 0.375
Zn2 0.375 0.375 0.874
Zn3 0.375 0.874 0.375
Zn4 0.874 0.375 0.375
Ru1 0.750 0.750 0.750
# ΔE to the lowest computed polymorph (meV/atom): 78.4
# Total magnetization (μB per formula unit): 3.5

=====

Record 6
# PBE LiLa4Te, relaxed
data_LiLa4Te
_symmetry_space_group_name_H-M 'P 1'
_symmetry_Int_Tables_number 1
_symmetry_space_group_name_Hall 'P 1'
_cell_length_a 6.542
_cell_length_b 6.542
_cell_length_c 6.542
_cell_angle_alpha 60.00
_cell_angle_beta 60.00
_cell_angle_gamma 60.00
loop_
_atom_site_label
_atom_site_fract_x
_atom_site_fract_y
_atom_site_fract_z
Li1 0.000 0.000 0.000
La1 0.376 0.376 0.376
La2 0.376 0.376 0.872
La3 0.376 0.872 0.376
La4 0.872 0.376 0.376
Te1 0.750 0.750 0.750
# Raw formation energy (meV/atom): 69.4
# Total magnetization (μB per formula unit): 0.0

=====

Record 7
# PBE RbMnNi2, relaxed
data_RbMnNi2
_symmetry_space_group_name_H-M 'P 1'
_symmetry_Int_Tables_number 1
_symmetry_space_group_name_Hall 'P 1'
_cell_length_a 6.603
_cell_length_b 6.603
_cell_length_c 6.603
_cell_angle_alpha 90.00
_cell_angle_beta 90.00
_cell_angle_gamma 90.00
loop_
_atom_site_label
_atom_site_fract_x
_atom_site_fract_y
_atom_site_fract_z
Rb1 0.000 0.000 0.000
Rb2 0.000 0.500 0.500
Rb3 0.500 0.000 0.500
Rb4 0.500 0.500 0.000
Mn1 0.000 0.000 0.500
Mn2 0.000 0.500 0.000
Mn3 0.500 0.000 0.000
Mn4 0.500 0.500 0.500
Ni1 0.250 0.250 0.250
Ni2 0.250 0.250 0.750
Ni3 0.250 0.750 0.250
Ni4 0.250 0.750 0.750
Ni5 0.750 0.250 0.250
Ni6 0.750 0.250 0.750
Ni7 0.750 0.750 0.250
Ni8 0.750 0.750 0.750
# ΔE to the lowest computed polymorph (meV/atom): 321.8
# Total magnetization (μB per formula unit): 4.2

=====

Record 8
# PBE Tb5Pm2Nd3, relaxed
data_Tb5Pm2Nd3
_symmetry_space_group_name_H-M 'P 1'
_symmetry_Int_Tables_number 1
_symmetry_space_group_name_Hall 'P 1'
_cell_length_a 9.838
_cell_length_b 9.838
_cell_length_c 9.354
_cell_angle_alpha 108.46
_cell_angle_beta 108.46
_cell_angle_gamma 113.45
loop_
_atom_site_label
_atom_site_fract_x
_atom_site_fract_y
_atom_site_fract_z
Tb1 0.024 0.976 0.750
Tb2 0.110 0.376 0.738
Tb3 0.221 0.779 0.750
Tb4 0.276 0.724 0.250
Tb5 0.376 0.110 0.238
Tb6 0.624 0.890 0.762
Tb7 0.724 0.276 0.750
Tb8 0.779 0.221 0.250
Tb9 0.890 0.624 0.262
Tb10 0.976 0.024 0.250
Pm1 0.226 0.484 0.456
Pm2 0.484 0.226 0.956
Pm3 0.516 0.774 0.044
Pm4 0.774 0.516 0.544
Nd1 0.025 0.276 0.047
Nd2 0.276 0.025 0.547
Nd3 0.480 0.520 0.250
Nd4 0.520 0.480 0.750
Nd5 0.724 0.975 0.453
Nd6 0.975 0.724 0.953
# ΔE to the lowest computed polymorph (meV/atom): 0.0
# Total magnetization (μB per formula unit): 0.0

=====

Repeat the first record exactly.
# PBE LaErHg4, relaxed
data_LaErHg4
_symmetry_space_group_name_H-M 'P 1'
_symmetry_Int_Tables_number 1
_symmetry_space_group_name_Hall 'P 1'
_cell_length_a 6.020
_cell_length_b 6.020
_cell_length_c 6.020
_cell_angle_alpha 60.00
_cell_angle_beta 60.00
_cell_angle_gamma 60.00
loop_
_atom_site_label
_atom_site_fract_x
_atom_site_fract_y
_atom_site_fract_z
La1 0.000 0.000 0.000
Er1 0.750 0.750 0.750
Hg1 0.375 0.375 0.375
Hg2 0.375 0.375 0.875
Hg3 0.375 0.875 0.375
Hg4 0.875 0.375 0.375
# ΔE to the lowest computed polymorph (meV/atom): 169.5
# Total magnetization (μB per formula unit): 0.0

=====

Which formula does entry 8 have? Tb5Pm2Nd3

=====

Please write out number 5 again, unchanged.
# PBE MnZn4Ru, relaxed
data_MnZn4Ru
_symmetry_space_group_name_H-M 'P 1'
_symmetry_Int_Tables_number 1
_symmetry_space_group_name_Hall 'P 1'
_cell_length_a 4.903
_cell_length_b 4.903
_cell_length_c 4.903
_cell_angle_alpha 60.00
_cell_angle_beta 60.00
_cell_angle_gamma 60.00
loop_
_atom_site_label
_atom_site_fract_x
_atom_site_fract_y
_atom_site_fract_z
Mn1 0.000 0.000 0.000
Zn1 0.375 0.375 0.375
Zn2 0.375 0.375 0.874
Zn3 0.375 0.874 0.375
Zn4 0.874 0.375 0.375
Ru1 0.750 0.750 0.750
# ΔE to the lowest computed polymorph (meV/atom): 78.4
# Total magnetization (μB per formula unit): 3.5